Compound: Fe2IrWCl
Source: the Alexandria database
Functional: meta-GGA SCAN
Structure: PBEsol geometry

## Properties
Theoretical density (g/cm3): 8.32
Energy (eV/cell): -178.86
Spin magnetization (Bohr magnetons per cell): 5.46
Raw formation energy (meV/atom): 1233

Cell: 4.6913 4.6913 4.7454 Å, 90.00 90.00 90.00°
Space group P4/mmm (No. 123)
Unique sites:
Fe 0.0000 0.5000 0.0000 (multiplicity 2)
Ir 0.0000 0.0000 0.0000 (multiplicity 1)
W 0.0000 0.0000 0.5000 (multiplicity 1)
Cl 0.5000 0.5000 0.5000 (multiplicity 1)